VASP calculation (GGA+U) on a geometry-optimized Li2Fe3NiO8 structure.

POSCAR file:
```
Li2Fe3NiO8
1.0
-1.443 5.562 1.233
-2.312 1.455 5.203
3.064 3.136 3.914
Fe O Li Ni
3 8 2 1
Cartesian
-1.490 5.806 7.758 Fe
1.167 6.637 7.121 Fe
-1.060 7.836 5.795 Fe
-0.511 7.492 7.638 O
0.144 5.061 7.197 O
1.228 3.995 4.401 O
-1.233 3.225 4.991 O
-1.926 6.175 5.966 O
0.543 6.947 5.374 O
-0.180 2.646 2.698 O
-0.835 5.106 3.173 O
-0.347 5.085 5.184 Li
-0.610 8.953 9.128 Li
-0.081 1.184 1.207 Ni
```

Spin magnetization, μB per cell: 3.93
Calculated volume, Å³ per atom: 9.993
Uncorrected energy, eV/atom: -5.666
Energy above the most stable polymorph in this dataset, meV/atom: 78.9
Crystal system: trigonal
SG: R3m